Entry 1:
# RbTeOsI2 (PBE-GGA, relaxed)
# - Uncorrected formation energy: 1668 meV/atom
# - Final energy: -2.020 eV/atom
# - Distance to the lowest polymorph of the same formula: 1702 meV/atom
data_RbTeOsI2
_chemical_formula_sum 'Rb1 Te1 Os1 I2'
_space_group_name_H-M_alt 'P 4/m m m'
_space_group_IT_number 123
_space_group_name_Hall '-P 4 2'
_cell_length_a 6.624
_cell_length_b 6.624
_cell_length_c 6.557
_cell_angle_alpha 90.00
_cell_angle_beta 90.00
_cell_angle_gamma 90.00
loop_
_atom_site_label
_atom_site_type_symbol
_atom_site_fract_x
_atom_site_fract_y
_atom_site_fract_z
Rb1 Rb 0.000 0.000 0.000
Te1 Te 0.000 0.000 0.500
Os1 Os 0.500 0.500 0.500
I1 I 0.000 0.500 0.000

---

Entry 2:
# Rb2TiOsI6 (PBE-GGA, relaxed)
# - Uncorrected formation energy: -416 meV/atom
# - Final energy: -3.452 eV/atom
data_Rb2TiOsI6
_chemical_formula_sum 'Rb4 Ti2 Os2 I12'
_space_group_name_H-M_alt 'I 4/m m m'
_space_group_IT_number 139
_space_group_name_Hall '-I 4 2'
_cell_length_a 8.033
_cell_length_b 8.033
_cell_length_c 11.247
_cell_angle_alpha 90.00
_cell_angle_beta 90.00
_cell_angle_gamma 90.00
loop_
_atom_site_label
_atom_site_type_symbol
_atom_site_fract_x
_atom_site_fract_y
_atom_site_fract_z
Rb1 Rb 0.000 0.500 0.250
Ti1 Ti 0.000 0.000 0.000
Os1 Os 0.000 0.000 0.500
I1 I 0.000 0.000 0.254
I2 I 0.244 0.244 0.500

---

Entry 3:
# Rb2TlOsI6 (PBE-GGA, relaxed)
# - Uncorrected formation energy: -570 meV/atom
# - Final energy: -3.053 eV/atom
data_Rb2TlOsI6
_chemical_formula_sum 'Rb8 Tl4 Os4 I24'
_space_group_name_H-M_alt 'F m -3 m'
_space_group_IT_number 225
_space_group_name_Hall '-F 4 2 3'
_cell_length_a 12.043
_cell_length_b 12.043
_cell_length_c 12.043
_cell_angle_alpha 90.00
_cell_angle_beta 90.00
_cell_angle_gamma 90.00
loop_
_atom_site_label
_atom_site_type_symbol
_atom_site_fract_x
_atom_site_fract_y
_atom_site_fract_z
Rb1 Rb 0.250 0.250 0.250
Tl1 Tl 0.000 0.000 0.000
Os1 Os 0.000 0.000 0.500
I1 I 0.000 0.000 0.275

---

Entry 4:
# Rb2OsWI6 (PBE-GGA, relaxed)
# - Uncorrected formation energy: -53 meV/atom
# - Final energy: -3.595 eV/atom
data_Rb2OsWI6
_chemical_formula_sum 'Rb4 Os2 W2 I12'
_space_group_name_H-M_alt 'I 4/m m m'
_space_group_IT_number 139
_space_group_name_Hall '-I 4 2'
_cell_length_a 8.036
_cell_length_b 8.036
_cell_length_c 11.338
_cell_angle_alpha 90.00
_cell_angle_beta 90.00
_cell_angle_gamma 90.00
loop_
_atom_site_label
_atom_site_type_symbol
_atom_site_fract_x
_atom_site_fract_y
_atom_site_fract_z
Rb1 Rb 0.000 0.500 0.250
Os1 Os 0.000 0.000 0.000
W1 W 0.000 0.000 0.500
I1 I 0.000 0.000 0.246
I2 I 0.247 0.247 0.000

---

Entry 5:
# Rb2YOsI6 (PBE-GGA, relaxed)
# - Uncorrected formation energy: -692 meV/atom
# - Final energy: -3.585 eV/atom
data_Rb2YOsI6
_chemical_formula_sum 'Rb4 Y2 Os2 I12'
_space_group_name_H-M_alt 'I 4/m m m'
_space_group_IT_number 139
_space_group_name_Hall '-I 4 2'
_cell_length_a 8.230
_cell_length_b 8.230
_cell_length_c 11.631
_cell_angle_alpha 90.00
_cell_angle_beta 90.00
_cell_angle_gamma 90.00
loop_
_atom_site_label
_atom_site_type_symbol
_atom_site_fract_x
_atom_site_fract_y
_atom_site_fract_z
Rb1 Rb 0.000 0.500 0.250
Y1 Y 0.000 0.000 0.000
Os1 Os 0.000 0.000 0.500
I1 I 0.000 0.000 0.262
I2 I 0.238 0.238 0.500

---

Entry 6:
# RbZn2OsI (PBE-GGA, relaxed)
# - Uncorrected formation energy: 233 meV/atom
# - Final energy: -3.027 eV/atom
data_RbZn2OsI
_chemical_formula_sum 'Rb1 Zn2 Os1 I1'
_space_group_name_H-M_alt 'P 4/m m m'
_space_group_IT_number 123
_space_group_name_Hall '-P 4 2'
_cell_length_a 5.011
_cell_length_b 5.011
_cell_length_c 5.487
_cell_angle_alpha 90.00
_cell_angle_beta 90.00
_cell_angle_gamma 90.00
loop_
_atom_site_label
_atom_site_type_symbol
_atom_site_fract_x
_atom_site_fract_y
_atom_site_fract_z
Rb1 Rb 0.000 0.000 0.000
Zn1 Zn 0.000 0.500 0.500
Os1 Os 0.500 0.500 0.500
I1 I 0.500 0.500 0.000